# 1
A plane-wave DFT calculation with PBE was carried out for MnHPd3 after structural relaxation.

Computed properties:
V = 257 Å³/cell
DFT total energy = -5.50 eV per atom

Unit cell a=13.735 b=2.828 c=7.143 alpha=90.00 beta=112.31 gamma=90.00
Space group C2/m (No. 12)
Asymmetric unit:
1 Mn 0.202 0.000 0.407 (multiplicity 4)
2 H 0.107 0.500 0.873 (multiplicity 4)
3 Pd 0.037 0.500 0.206 (multiplicity 4)
4 Pd 0.116 0.500 0.626 (multiplicity 4)
5 Pd 0.171 0.000 0.040 (multiplicity 4)

***

# 2
A plane-wave DFT calculation with PBE was carried out for CsPuCuTe3 after structural relaxation.

Computed properties:
ΔE_f (raw) = -788.5 meV per atom
V = 452 Å³/cell
DFT total energy = -5.57 eV per atom

Unit cell a=10.382 b=4.400 c=10.737 alpha=90.00 beta=112.76 gamma=90.00
Space group P2_1/m (No. 11)
Asymmetric unit:
1 Cs 0.214 0.250 0.250 (multiplicity 2)
2 Pu 0.319 0.750 0.847 (multiplicity 2)
3 Cu 0.083 0.250 0.600 (multiplicity 2)
4 Te 0.120 0.250 0.858 (multiplicity 2)
5 Te 0.192 0.750 0.540 (multiplicity 2)
6 Te 0.474 0.750 0.158 (multiplicity 2)

***

# 3
A plane-wave DFT calculation with PBE was carried out for LiFe2GeBi after structural relaxation.

Computed properties:
V = 116 Å³/cell
DFT formation energy = 0.705 eV per atom
DFT total energy = -4.76 eV per atom

Unit cell a=4.544 b=4.544 c=5.596 alpha=90.00 beta=90.00 gamma=90.00
Space group P4/mmm (No. 123)
Asymmetric unit:
1 Li 0.000 0.000 0.000 (multiplicity 1)
2 Fe 0.000 0.500 0.500 (multiplicity 2)
3 Ge 0.500 0.500 0.500 (multiplicity 1)
4 Bi 0.500 0.500 0.000 (multiplicity 1)

***

# 4
A plane-wave DFT calculation with PBE was carried out for Ac6HgIr3 after structural relaxation.

Computed properties:
V = 690 Å³/cell
DFT formation energy = -0.596 eV per atom
DFT total energy = -5.75 eV per atom

Unit cell a=12.816 b=4.446 c=12.867 alpha=90.00 beta=109.80 gamma=90.00
Space group P2_1/m (No. 11)
Asymmetric unit:
1 Ac 0.040 0.250 0.364 (multiplicity 2)
2 Ac 0.105 0.750 0.960 (multiplicity 2)
3 Ac 0.240 0.250 0.790 (multiplicity 2)
4 Ac 0.261 0.750 0.280 (multiplicity 2)
5 Ac 0.413 0.250 0.570 (multiplicity 2)
6 Ac 0.445 0.250 0.107 (multiplicity 2)
7 Hg 0.200 0.750 0.557 (multiplicity 2)
8 Ir 0.002 0.250 0.805 (multiplicity 2)
9 Ir 0.335 0.750 0.948 (multiplicity 2)
10 Ir 0.421 0.250 0.340 (multiplicity 2)

***

# 5
A plane-wave DFT calculation with PBE was carried out for CaTbHo2 after structural relaxation.

Computed properties:
V = 406 Å³/cell
DFT formation energy = 0.162 eV per atom
DFT total energy = -3.79 eV per atom

Unit cell a=3.5378 b=3.5378 c=37.4988 alpha=90.00 beta=90.00 gamma=120.00
Space group R-3m (No. 166, hexagonal axes)
Asymmetric unit:
1 Ca 0.0000 0.0000 0.0000 (multiplicity 3)
2 Tb 0.0000 0.0000 0.5000 (multiplicity 3)
3 Ho 0.0000 0.0000 0.0911 (multiplicity 6)

***

# 6
A plane-wave DFT calculation with PBE was carried out for Sm7Tl4Hg after structural relaxation.

Computed properties:
V = 744 Å³/cell
DFT formation energy = -0.217 eV per atom
DFT total energy = -3.78 eV per atom

Unit cell a=17.071 b=5.670 c=8.884 alpha=90.00 beta=120.05 gamma=90.00
Space group C2/m (No. 12)
Asymmetric unit:
1 Sm 0.000 0.000 0.000 (multiplicity 2)
2 Sm 0.070 0.500 0.397 (multiplicity 4)
3 Sm 0.163 0.500 0.924 (multiplicity 4)
4 Sm 0.215 0.000 0.611 (multiplicity 4)
5 Tl 0.057 0.000 0.704 (multiplicity 4)
6 Tl 0.209 0.000 0.244 (multiplicity 4)
7 Hg 0.000 0.500 0.000 (multiplicity 2)

***

# 7
A plane-wave DFT calculation with PBE was carried out for K2RbCa2 after structural relaxation.

Computed properties:
V = 624 Å³/cell
DFT formation energy = 0.218 eV per atom
DFT total energy = -1.21 eV per atom

Unit cell a=12.123 b=12.123 c=4.247 alpha=90.00 beta=90.00 gamma=90.00
Space group P4/mbm (No. 127)
Asymmetric unit:
1 K 0.178 0.322 0.000 (multiplicity 4)
2 Rb 0.000 0.000 0.000 (multiplicity 2)
3 Ca 0.112 0.612 0.500 (multiplicity 4)

***

# 8
A plane-wave DFT calculation with PBE was carried out for YZnCu2 after structural relaxation.

Computed properties:
V = 325 Å³/cell
DFT formation energy = 0.064 eV per atom
DFT total energy = -3.92 eV per atom

Unit cell a=4.394 b=4.394 c=16.853 alpha=90.00 beta=90.00 gamma=90.00
Space group I-42d (No. 122)
Asymmetric unit:
1 Y 0.000 0.000 0.000 (multiplicity 4)
2 Zn 0.000 0.000 0.500 (multiplicity 4)
3 Cu 0.092 0.250 0.625 (multiplicity 8)

***

Question: Which of these has the highest DFT total energy?
Answer: K2RbCa2